Below is a geometry-optimized FeTcSbTe2 structure, with properties calculated at the PBE level.

Output
- Total magnetization: 2.375 Bohr magnetons per cell
- DOS(E_F): 8.183 states/eV/cell
- E_tot: -4.858 eV per atom
- Energy relative to the lowest polymorph listed for this composition: 0.000 eV/atom
- Volume: 141 Å³/f.u.
- Formation energy from raw total energies: 0.989 eV per atom
- Space group: P4/mmm

a b c (Å): 5.2504 5.2504 5.1236
angles (deg): 90.00 90.00 90.00
Element x y z (fractional)
Fe: 0.0000 0.0000 0.0000
Tc: 0.5000 0.5000 0.5000
Sb: 0.5000 0.5000 0.0000
Te: 0.0000 0.5000 0.5000
Te: 0.5000 0.0000 0.5000

Below is a geometry-optimized FeTcSb2Te structure, with properties calculated at the PBE level.

Output
- Total magnetization: 2.667 Bohr magnetons per cell
- DOS(E_F): 8.953 states/eV/cell
- E_tot: -5.052 eV per atom
- Energy relative to the lowest polymorph listed for this composition: 0.013 eV/atom
- Volume: 139 Å³/f.u.
- Formation energy from raw total energies: 0.991 eV per atom
- Space group: P4/mmm

a b c (Å): 5.0943 5.0943 5.3609
angles (deg): 90.00 90.00 90.00
Element x y z (fractional)
Fe: 0.0000 0.0000 0.0000
Tc: 0.5000 0.5000 0.5000
Sb: 0.0000 0.5000 0.5000
Sb: 0.5000 0.0000 0.5000
Te: 0.5000 0.5000 0.0000

Below is a geometry-optimized TiFeTcSb structure, with properties calculated at the PBE level.

Output
- Total magnetization: 0.000 Bohr magnetons per cell
- DOS(E_F): 0.034 states/eV/cell
- E_tot: -8.009 eV per atom
- Volume: 59 Å³/f.u.
- Formation energy from raw total energies: -0.298 eV per atom
- Space group: F-43m

a b c (Å): 4.3793 4.3793 4.3793
angles (deg): 60.00 60.00 60.00
Element x y z (fractional)
Ti: 0.0000 0.0000 0.0000
Fe: 0.7500 0.7500 0.7500
Tc: 0.2500 0.2500 0.2500
Sb: 0.5000 0.5000 0.5000

Below is a geometry-optimized VFeTcSb2 structure, with properties calculated at the PBE level.

Output
- Total magnetization: 2.871 Bohr magnetons per cell
- DOS(E_F): 8.357 states/eV/cell
- E_tot: -5.966 eV per atom
- Volume: 118 Å³/f.u.
- Formation energy from raw total energies: 1.272 eV per atom
- Space group: P4/mmm

a b c (Å): 5.0776 5.0776 4.5601
angles (deg): 90.00 90.00 90.00
Element x y z (fractional)
V: 0.0000 0.0000 0.0000
Fe: 0.5000 0.5000 0.0000
Tc: 0.5000 0.5000 0.5000
Sb: 0.0000 0.5000 0.5000
Sb: 0.5000 0.0000 0.5000

Below is a geometry-optimized VFeTcSb structure, with properties calculated at the PBE level.

Output
- Total magnetization: 0.999 Bohr magnetons per cell
- DOS(E_F): 4.007 states/eV/cell
- E_tot: -8.012 eV per atom
- Volume: 58 Å³/f.u.
- Formation energy from raw total energies: 0.005 eV per atom
- Space group: F-43m

a b c (Å): 4.3396 4.3396 4.3396
angles (deg): 60.00 60.00 60.00
Element x y z (fractional)
V: 0.0000 0.0000 0.0000
Fe: 0.7500 0.7500 0.7500
Tc: 0.2500 0.2500 0.2500
Sb: 0.5000 0.5000 0.5000

Below is a geometry-optimized ZrFeTcSb structure, with properties calculated at the PBE level.

Output
- Total magnetization: 0.000 Bohr magnetons per cell
- DOS(E_F): 0.084 states/eV/cell
- E_tot: -8.110 eV per atom
- Volume: 65 Å³/f.u.
- Formation energy from raw total energies: -0.236 eV per atom
- Space group: F-43m

a b c (Å): 4.5171 4.5171 4.5171
angles (deg): 60.00 60.00 60.00
Element x y z (fractional)
Zr: 0.0000 0.0000 0.0000
Fe: 0.2500 0.2500 0.2500
Tc: 0.7500 0.7500 0.7500
Sb: 0.5000 0.5000 0.5000

formation energy from raw total energies of number 6 (ZrFeTcSb)?
-0.236 eV per atom